Record 1
# YCdB (PBE, optimized geometry)
data_YCdB
_space_group_name_H-M_alt 'F -4 3 m'
_space_group_IT_number 216
_space_group_name_Hall 'F -4 2 3'
_cell_length_a 6.5023
_cell_length_b 6.5023
_cell_length_c 6.5023
_cell_angle_alpha 90.00
_cell_angle_beta 90.00
_cell_angle_gamma 90.00
loop_
_atom_site_label
_atom_site_fract_x
_atom_site_fract_y
_atom_site_fract_z
Y1 0.0000 0.0000 0.0000
Cd1 0.2500 0.2500 0.7500
B1 0.2500 0.2500 0.2500
# mass density	5.1	Mg/m³
# excess energy over the best structure of this formula in the dataset	1273	meV/atom
# DFT total energy	-3.81	eV per atom
# size of the total moment	0.00	μB per formula unit

Record 2
# YCdB (PBE, optimized geometry)
data_YCdB
_space_group_name_H-M_alt 'P 63/m m c'
_space_group_IT_number 194
_space_group_name_Hall '-P 6c 2c'
_cell_length_a 3.9933
_cell_length_b 3.9933
_cell_length_c 9.9998
_cell_angle_alpha 90.00
_cell_angle_beta 90.00
_cell_angle_gamma 120.00
loop_
_atom_site_label
_atom_site_fract_x
_atom_site_fract_y
_atom_site_fract_z
Y1 0.0000 0.0000 0.0000
Cd1 0.3333 0.6667 0.2500
B1 0.0000 0.0000 0.2500
# mass density	5.1	Mg/m³
# excess energy over the best structure of this formula in the dataset	944	meV/atom
# DFT total energy	-4.14	eV per atom
# size of the total moment	0.00	μB per formula unit

Record 3
# YCdB (PBE, optimized geometry)
data_YCdB
_space_group_name_H-M_alt 'P -6 m 2'
_space_group_IT_number 187
_space_group_name_Hall 'P -6 2'
_cell_length_a 4.3716
_cell_length_b 4.3716
_cell_length_c 7.0468
_cell_angle_alpha 90.00
_cell_angle_beta 90.00
_cell_angle_gamma 120.00
loop_
_atom_site_label
_atom_site_fract_x
_atom_site_fract_y
_atom_site_fract_z
Y1 0.0000 0.0000 0.0000
Y2 0.3333 0.6667 0.5000
Cd1 0.6667 0.3333 0.2608
B1 0.3333 0.6667 0.1248
# mass density	6.0	Mg/m³
# excess energy over the best structure of this formula in the dataset	306	meV/atom
# DFT total energy	-4.78	eV per atom
# size of the total moment	0.00	μB per formula unit

Record 4
# YCdB (PBE, optimized geometry)
data_YCdB
_space_group_name_H-M_alt 'P -1'
_space_group_IT_number 2
_cell_length_a 3.8969
_cell_length_b 5.0449
_cell_length_c 6.2155
_cell_angle_alpha 77.80
_cell_angle_beta 72.07
_cell_angle_gamma 85.21
loop_
_space_group_symop_operation_xyz
'x,y,z'
'-x,-y,-z'
loop_
_atom_site_label
_atom_site_fract_x
_atom_site_fract_y
_atom_site_fract_z
Y1 0.1677 0.3168 0.2137
Cd1 0.4552 0.2180 0.6629
B1 0.1280 0.8659 0.0348
# mass density	6.2	Mg/m³
# excess energy over the best structure of this formula in the dataset	286	meV/atom
# DFT total energy	-4.80	eV per atom
# size of the total moment	0.00	μB per formula unit

Record 5
# Y3CdB (PBE, optimized geometry)
data_Y3CdB
_space_group_name_H-M_alt 'P m -3 m'
_space_group_IT_number 221
_space_group_name_Hall '-P 4 2 3'
_cell_length_a 5.0718
_cell_length_b 5.0718
_cell_length_c 5.0718
_cell_angle_alpha 90.00
_cell_angle_beta 90.00
_cell_angle_gamma 90.00
loop_
_atom_site_label
_atom_site_fract_x
_atom_site_fract_y
_atom_site_fract_z
Y1 0.0000 0.0000 0.5000
Cd1 0.5000 0.5000 0.5000
B1 0.0000 0.0000 0.0000
# mass density	5.0	Mg/m³
# excess energy over the best structure of this formula in the dataset	0	meV/atom
# DFT total energy	-5.54	eV per atom
# size of the total moment	1.61	μB per formula unit

Record 6
# YCdB (PBE, optimized geometry)
data_YCdB
_space_group_name_H-M_alt 'P 4/n m m'
_space_group_IT_number 129
_cell_length_a 4.3155
_cell_length_b 4.3155
_cell_length_c 6.3378
_cell_angle_alpha 90.00
_cell_angle_beta 90.00
_cell_angle_gamma 90.00
loop_
_space_group_symop_operation_xyz
'x,y,z'
'-x,-y,-z'
'-y+1/2,x,z'
'y+1/2,-x,-z'
'-x+1/2,-y+1/2,z'
'x+1/2,y+1/2,-z'
'y,-x+1/2,z'
'-y,x+1/2,-z'
'x+1/2,-y,-z'
'-x+1/2,y,z'
'-y,-x,-z'
'y,x,z'
'-x,y+1/2,-z'
'x,-y+1/2,z'
'y+1/2,x+1/2,-z'
'-y+1/2,-x+1/2,z'
loop_
_atom_site_label
_atom_site_fract_x
_atom_site_fract_y
_atom_site_fract_z
Y1 0.2500 0.2500 0.2351
Cd1 0.2500 0.2500 0.7215
B1 0.2500 0.7500 0.5000
# mass density	6.0	Mg/m³
# excess energy over the best structure of this formula in the dataset	613	meV/atom
# DFT total energy	-4.47	eV per atom
# size of the total moment	0.00	μB per formula unit

Record 7
# YCdB (PBE, optimized geometry)
data_YCdB
_space_group_name_H-M_alt 'F -4 3 m'
_space_group_IT_number 216
_space_group_name_Hall 'F -4 2 3'
_cell_length_a 6.1255
_cell_length_b 6.1255
_cell_length_c 6.1255
_cell_angle_alpha 90.00
_cell_angle_beta 90.00
_cell_angle_gamma 90.00
loop_
_atom_site_label
_atom_site_fract_x
_atom_site_fract_y
_atom_site_fract_z
Y1 0.0000 0.0000 0.0000
Cd1 0.0000 0.0000 0.5000
B1 0.2500 0.2500 0.2500
# mass density	6.1	Mg/m³
# excess energy over the best structure of this formula in the dataset	328	meV/atom
# DFT total energy	-4.75	eV per atom
# size of the total moment	0.00	μB per formula unit

Record 8
# YCdB (PBE, optimized geometry)
data_YCdB
_space_group_name_H-M_alt 'P n m a'
_space_group_IT_number 62
_cell_length_a 6.0422
_cell_length_b 3.4675
_cell_length_c 11.5691
_cell_angle_alpha 90.00
_cell_angle_beta 90.00
_cell_angle_gamma 90.00
loop_
_space_group_symop_operation_xyz
'x,y,z'
'-x,-y,-z'
'-x+1/2,-y,z+1/2'
'x+1/2,y,-z+1/2'
'x+1/2,-y+1/2,-z+1/2'
'-x+1/2,y+1/2,z+1/2'
'-x,y+1/2,-z'
'x,-y+1/2,z'
loop_
_atom_site_label
_atom_site_fract_x
_atom_site_fract_y
_atom_site_fract_z
Y1 0.1631 0.2500 0.1816
Cd1 0.1864 0.2500 0.4554
B1 0.0155 0.2500 0.6564
# mass density	5.8	Mg/m³
# excess energy over the best structure of this formula in the dataset	669	meV/atom
# DFT total energy	-4.41	eV per atom
# size of the total moment	0.00	μB per formula unit

Number 1: ΔH_f (0 K) 0.877 eV per atom. Number 2: ΔH_f (0 K) 0.548 eV per atom. Number 3: ΔH_f (0 K) -0.090 eV per atom. Number 4: ΔH_f (0 K) -0.110 eV per atom. Number 5: ΔH_f (0 K) -0.138 eV per atom. Number 6: ΔH_f (0 K) 0.217 eV per atom. Number 7: ΔH_f (0 K) -0.068 eV per atom. Number 8: ΔH_f (0 K) 0.273 eV per atom.